{
  "formula": "Sm3Tl2Au",
  "functional": "PBE",
  "state": "optimized geometry",
  "magmom_total_mub_per_atom": 0.000,
  "total_energy_ev_per_atom": -4.12,
  "delta_e_f_ev_per_atom": -0.425,
  "dos_ef_per_ev_cell": 8.854,
  "sg": "C2/c (15)",
  "lattice_angstrom": [[7.8769, -3.2384, 0.0000], [7.8769, 3.2384, 0.0000], [-1.5420, 0.0000, 6.5155]],
  "species": ["Sm", "Sm", "Sm", "Sm", "Sm", "Sm", "Tl", "Tl", "Tl", "Tl", "Au", "Au"],
  "frac_coords": [[0.1331, 0.8669, 0.7500], [0.2383, 0.4425, 0.4124], [0.4425, 0.2383, 0.9124], [0.5575, 0.7617, 0.0876], [0.7617, 0.5575, 0.5876], [0.8669, 0.1331, 0.2500], [0.0578, 0.2772, 0.0532], [0.2772, 0.0578, 0.5532], [0.7228, 0.9422, 0.4468], [0.9422, 0.7228, 0.9468], [0.3648, 0.6352, 0.2500], [0.6352, 0.3648, 0.7500]]
}

***

{
  "formula": "Th8P3OsSe4",
  "functional": "PBE",
  "state": "optimized geometry",
  "magmom_total_mub_per_atom": 0.000,
  "total_energy_ev_per_atom": -7.74,
  "dos_ef_per_ev_cell": 13.138,
  "sg": "R-3m (166)",
  "lattice_angstrom": [[4.1742, 2.4100, 6.9308], [-4.1742, 2.4100, 6.9308], [0.0000, -4.8199, 6.9308]],
  "species": ["Th", "Th", "Th", "Th", "Th", "Th", "Th", "Th", "P", "P", "P", "Os", "Se", "Se", "Se", "Se"],
  "frac_coords": [[0.2432, 0.2432, 0.2432], [0.2483, 0.7398, 0.7398], [0.2602, 0.2602, 0.7517], [0.2602, 0.7517, 0.2602], [0.7398, 0.2483, 0.7398], [0.7398, 0.7398, 0.2483], [0.7517, 0.2602, 0.2602], [0.7568, 0.7568, 0.7568], [0.0000, 0.0000, 0.5000], [0.0000, 0.5000, 0.0000], [0.5000, 0.0000, 0.0000], [0.5000, 0.5000, 0.5000], [0.0000, 0.0000, 0.0000], [0.0000, 0.5000, 0.5000], [0.5000, 0.0000, 0.5000], [0.5000, 0.5000, 0.0000]]
}

***

{
  "formula": "ScTcSn2",
  "functional": "PBE",
  "state": "optimized geometry",
  "magmom_total_mub_per_atom": 0.000,
  "total_energy_ev_per_atom": -6.37,
  "delta_e_f_ev_per_atom": -0.192,
  "dos_ef_per_ev_cell": 1.643,
  "sg": "Fm-3m (225)",
  "lattice_angstrom": [[0.0000, 3.3836, 3.3836], [3.3836, 0.0000, 3.3836], [3.3836, 3.3836, 0.0000]],
  "species": ["Sc", "Tc", "Sn", "Sn"],
  "frac_coords": [[0.0000, 0.0000, 0.0000], [0.5000, 0.5000, 0.5000], [0.2500, 0.2500, 0.2500], [0.7500, 0.7500, 0.7500]]
}

***

{
  "formula": "Tb3Th3TcHg2",
  "functional": "PBE",
  "state": "optimized geometry",
  "magmom_total_mub_per_atom": 0.000,
  "total_energy_ev_per_atom": -5.49,
  "delta_e_f_ev_per_atom": -0.259,
  "dos_ef_per_ev_cell": 12.274,
  "sg": "P-62m (189)",
  "lattice_angstrom": [[8.6148, 0.0000, 0.0000], [-4.3074, 7.4606, 0.0000], [0.0000, 0.0000, 3.8989]],
  "species": ["Tb", "Tb", "Tb", "Th", "Th", "Th", "Tc", "Hg", "Hg"],
  "frac_coords": [[0.0000, 0.5975, 0.0000], [0.4025, 0.4025, 0.0000], [0.5975, 0.0000, 0.0000], [0.0000, 0.2443, 0.5000], [0.2443, 0.0000, 0.5000], [0.7557, 0.7557, 0.5000], [0.0000, 0.0000, 0.0000], [0.3333, 0.6667, 0.5000], [0.6667, 0.3333, 0.5000]]
}

***

{
  "formula": "PmCuSnRu",
  "functional": "PBE",
  "state": "optimized geometry",
  "magmom_total_mub_per_atom": 0.000,
  "total_energy_ev_per_atom": -5.71,
  "delta_e_f_ev_per_atom": -0.179,
  "dos_ef_per_ev_cell": 3.354,
  "sg": "F-43m (216)",
  "lattice_angstrom": [[0.0000, 3.3755, 3.3755], [3.3755, 0.0000, 3.3755], [3.3755, 3.3755, 0.0000]],
  "species": ["Pm", "Cu", "Sn", "Ru"],
  "frac_coords": [[0.0000, 0.0000, 0.0000], [0.7500, 0.7500, 0.7500], [0.5000, 0.5000, 0.5000], [0.2500, 0.2500, 0.2500]]
}

***

{
  "formula": "Rb3InHg12",
  "functional": "PBE",
  "state": "optimized geometry",
  "magmom_total_mub_per_atom": 0.000,
  "total_energy_ev_per_atom": -0.73,
  "delta_e_f_ev_per_atom": -0.148,
  "dos_ef_per_ev_cell": 5.669,
  "sg": "P4/mmm (123)",
  "lattice_angstrom": [[5.1168, 0.0000, 0.0000], [0.0000, 5.1168, 0.0000], [0.0000, 0.0000, 19.9280]],
  "species": ["Rb", "Rb", "Rb", "In", "Hg", "Hg", "Hg", "Hg", "Hg", "Hg", "Hg", "Hg", "Hg", "Hg", "Hg", "Hg"],
  "frac_coords": [[0.0000, 0.0000, 0.0000], [0.0000, 0.0000, 0.2629], [0.0000, 0.0000, 0.7371], [0.0000, 0.0000, 0.5000], [0.0000, 0.5000, 0.1311], [0.0000, 0.5000, 0.3959], [0.0000, 0.5000, 0.6041], [0.0000, 0.5000, 0.8689], [0.5000, 0.0000, 0.1311], [0.5000, 0.0000, 0.3959], [0.5000, 0.0000, 0.6041], [0.5000, 0.0000, 0.8689], [0.5000, 0.5000, 0.0000], [0.5000, 0.5000, 0.2875], [0.5000, 0.5000, 0.5000], [0.5000, 0.5000, 0.7125]]
}

***

{
  "formula": "CsSiBP2",
  "functional": "PBE",
  "state": "optimized geometry",
  "magmom_total_mub_per_atom": 0.000,
  "total_energy_ev_per_atom": -3.84,
  "dos_ef_per_ev_cell": 3.399,
  "sg": "P4/mmm (123)",
  "lattice_angstrom": [[4.8750, 0.0000, 0.0000], [0.0000, 4.8750, 0.0000], [0.0000, 0.0000, 4.3629]],
  "species": ["Cs", "Si", "B", "P", "P"],
  "frac_coords": [[0.0000, 0.0000, 0.0000], [0.5000, 0.5000, 0.5000], [0.5000, 0.5000, 0.0000], [0.0000, 0.5000, 0.5000], [0.5000, 0.0000, 0.5000]]
}